No. 1
Hf2UNi9 | PBE | optimized geometry

a = 4.846 Å, b = 4.846 Å, c = 8.431 Å
α = 73.30°, β = 73.30°, γ = 60.00°
Element x y z (fractional)
Ni (0.334, 0.334, 0.999)
Ni (0.587, 0.082, 0.744)
Ni (0.082, 0.587, 0.744)
Ni (0.500, 0.500, 0.500)
Ni (0.413, 0.413, 0.256)
Ni (0.413, 0.918, 0.256)
Ni (0.918, 0.413, 0.256)
Ni (0.666, 0.666, 0.001)
Ni (0.587, 0.587, 0.744)
Hf (0.860, 0.860, 0.419)
Hf (0.140, 0.140, 0.581)
U (0.000, 0.000, 0.000)

**DFT formation energy**: -390 meV/atom
**Theoretical density**: 11.53 g cm⁻³


No. 2
Co2ReTe | PBE | optimized geometry

a = 4.332 Å, b = 4.332 Å, c = 4.332 Å
α = 60.00°, β = 60.00°, γ = 60.00°
Element x y z (fractional)
Re (0.500, 0.500, 0.500)
Co (0.250, 0.250, 0.250)
Co (0.000, 0.000, 0.000)
Te (0.750, 0.750, 0.750)

**Formation energy without anion corrections**: 0.54 eV per atom
**Theoretical density**: 12.47 g cm⁻³